[1]
DFT (GGA-PBEsol) results for an optimized crystal structure of Ag5Au4.

Geometry as POSCAR:
```
Ag5Au4
1.0
8.0058 0.0000 0.0000
-4.0029 6.9332 0.0000
0.0000 0.0000 5.5276
Ag Au
10 8
direct
0.0000 0.3233 0.2500 Ag
0.0000 0.6767 0.7500 Ag
0.3233 0.0000 0.2500 Ag
0.3233 0.3233 0.7500 Ag
0.3333 0.6667 0.0000 Ag
0.3333 0.6667 0.5000 Ag
0.6667 0.3333 0.0000 Ag
0.6667 0.3333 0.5000 Ag
0.6767 0.0000 0.7500 Ag
0.6767 0.6767 0.2500 Ag
0.0000 0.0000 0.0000 Au
0.0000 0.0000 0.5000 Au
0.0000 0.3448 0.7500 Au
0.0000 0.6552 0.2500 Au
0.3448 0.0000 0.7500 Au
0.3448 0.3448 0.2500 Au
0.6552 0.0000 0.2500 Au
0.6552 0.6552 0.7500 Au
```

VASP energy: -3.55 eV/atom
crystal system: hexagonal
total magnetization: 0.000 μB per atom
volume: 307 Å³ per cell
SG: P6_3/mcm

***

[2]
DFT (GGA-PBEsol) results for an optimized crystal structure of MnAlFe2C.

Geometry as POSCAR:
```
MnAlFe2C
1.0
3.7140 0.0000 0.0000
0.0000 3.7140 0.0000
0.0000 0.0000 3.7299
Mn Al Fe C
1 1 2 1
direct
0.0000 0.0000 0.0000 Mn
0.5000 0.5000 0.0000 Al
0.0000 0.5000 0.5000 Fe
0.5000 0.0000 0.5000 Fe
0.0000 0.0000 0.5000 C
```

VASP energy: -8.51 eV/atom
crystal system: tetragonal
total magnetization: 0.556 μB per atom
volume: 51 Å³ per cell
SG: P4/mmm

***

Look up the volume of the first one. 307 Å³ per cell